Entry 1:
# CuNiH

A relaxed structure of CuNiH (PBE, Alexandria). Values from VASP.

The structure in Quantum ESPRESSO input format:
```
&SYSTEM
  ibrav = 0, nat = 3, ntyp = 3
/
ATOMIC_SPECIES
Cu 63.55 Cu.upf
Ni 58.69 Ni.upf
H 1.01 H.upf
ATOMIC_POSITIONS crystal
Cu 0.000 0.000 0.000
Ni 0.274 0.274 0.726
H 0.663 0.663 0.337
CELL_PARAMETERS angstrom
0.000 2.194 4.698
1.275 0.000 4.698
1.275 2.194 0.000
```

Values from the calculation:
Total moment in μB per formula unit: 0.00
Excess energy over the best structure of this formula in the dataset in kJ/mol of atoms: 13.1
Raw total energy in eV per atom: -4.29



Entry 2:
# YBe2Pt

A relaxed structure of YBe2Pt (PBE, Alexandria). Values from VASP.

The structure in Quantum ESPRESSO input format:
```
&SYSTEM
  ibrav = 0, nat = 4, ntyp = 3
/
ATOMIC_SPECIES
Y 88.91 Y.upf
Be 9.01 Be.upf
Pt 195.08 Pt.upf
ATOMIC_POSITIONS crystal
Y 0.000 0.000 0.000
Be 0.250 0.250 0.250
Be 0.750 0.750 0.750
Pt 0.500 0.500 0.500
CELL_PARAMETERS angstrom
0.000 3.068 3.068
3.068 0.000 3.068
3.068 3.068 0.000
```

Values from the calculation:
Total moment in μB per formula unit: 0.00
Excess energy over the best structure of this formula in the dataset in kJ/mol of atoms: 21.6
Formation energy in eV/atom: -0.45
Raw total energy in eV per atom: -5.44



Entry 3:
# TcB2PbN

A relaxed structure of TcB2PbN (PBE, Alexandria). Values from VASP.

The structure in Quantum ESPRESSO input format:
```
&SYSTEM
  ibrav = 0, nat = 5, ntyp = 4
/
ATOMIC_SPECIES
Tc 98.00 Tc.upf
B 10.81 B.upf
Pb 207.20 Pb.upf
N 14.01 N.upf
ATOMIC_POSITIONS crystal
Tc 0.000 0.000 0.000
B 0.000 0.500 0.000
B 0.500 0.000 0.000
Pb 0.500 0.500 0.500
N 0.000 0.000 0.500
CELL_PARAMETERS angstrom
4.309 0.000 0.000
0.000 4.309 0.000
0.000 0.000 3.912
```

Values from the calculation:
Total moment in μB per formula unit: 0.00
ΔE_f (raw) in kJ per mole of atoms: 94.7
Raw total energy in eV per atom: -6.17



Entry 4:
# LaBe2ZnAs

A relaxed structure of LaBe2ZnAs (PBE, Alexandria). Values from VASP.

The structure in Quantum ESPRESSO input format:
```
&SYSTEM
  ibrav = 0, nat = 5, ntyp = 4
/
ATOMIC_SPECIES
La 138.91 La.upf
Be 9.01 Be.upf
Zn 65.41 Zn.upf
As 74.92 As.upf
ATOMIC_POSITIONS crystal
La 0.000 0.000 0.000
Be 0.000 0.500 0.500
Be 0.500 0.000 0.500
Zn 0.500 0.500 0.000
As 0.000 0.000 0.500
CELL_PARAMETERS angstrom
4.386 0.000 0.000
0.000 4.386 0.000
0.000 0.000 5.764
```

Values from the calculation:
Total moment in μB per formula unit: 0.00
Formation energy in eV/atom: 0.35
Raw total energy in eV per atom: -3.31



Question: raw total energy of number 4 (LaBe2ZnAs)?
Answer: -3.31 eV per atom



Question: Among the records above, which one has the lowest raw total energy?
Answer: TcB2PbN



Please write out number 3 again, unchanged.
# TcB2PbN

A relaxed structure of TcB2PbN (PBE, Alexandria). Values from VASP.

The structure in Quantum ESPRESSO input format:
```
&SYSTEM
  ibrav = 0, nat = 5, ntyp = 4
/
ATOMIC_SPECIES
Tc 98.00 Tc.upf
B 10.81 B.upf
Pb 207.20 Pb.upf
N 14.01 N.upf
ATOMIC_POSITIONS crystal
Tc 0.000 0.000 0.000
B 0.000 0.500 0.000
B 0.500 0.000 0.000
Pb 0.500 0.500 0.500
N 0.000 0.000 0.500
CELL_PARAMETERS angstrom
4.309 0.000 0.000
0.000 4.309 0.000
0.000 0.000 3.912
```

Values from the calculation:
Total moment in μB per formula unit: 0.00
ΔE_f (raw) in kJ per mole of atoms: 94.7
Raw total energy in eV per atom: -6.17



Question: raw total energy of number 1 (CuNiH)?
Answer: -4.29 eV per atom